Entry from Alexandria: a relaxed PmEr2B6 crystal (GGA-PBE).

```
PmEr2B6
1.0
3.904 0.000 0.000
0.000 4.945 -2.855
0.000 0.000 5.710
B Pm Er
6 1 2
direct
0.500 0.661 0.661 B
0.500 0.000 0.339 B
0.500 0.339 0.000 B
0.500 0.000 0.661 B
0.500 0.661 0.000 B
0.500 0.339 0.339 B
0.000 0.000 0.000 Pm
0.000 0.333 0.667 Er
0.000 0.667 0.333 Er
```

Total magnetic moment (μB/f.u.): 0.00
Calculated density (Mg/m³): 8.200
Energy of formation from the pure elements (eV/atom): -0.5202